Entry 1:
{"formula": "SrZrPb4", "functional": "PBE", "state": "relaxed", "lattice_angstrom": [[0.0000, 4.5635, 4.5635], [4.5635, 0.0000, 4.5635], [4.5635, 4.5635, 0.0000]], "species": ["Sr", "Zr", "Pb", "Pb", "Pb", "Pb"], "frac_coords": [[0.0000, 0.0000, 0.0000], [0.7500, 0.7500, 0.7500], [0.3757, 0.3757, 0.3757], [0.3757, 0.3757, 0.8728], [0.3757, 0.8728, 0.3757], [0.8728, 0.3757, 0.3757]], "sg": "F-43m, No. 216", "final_energy_ev_per_atom": -4.0466, "e_form_ev_per_atom": 0.13}

Entry 2:
{"formula": "VNi6Mo", "functional": "PBE", "state": "relaxed", "lattice_angstrom": [[3.2757, 1.8912, 2.9011], [-3.2757, 1.8912, 2.9011], [0.0000, -3.7824, 2.9011]], "species": ["V", "Ni", "Ni", "Ni", "Ni", "Ni", "Ni", "Mo"], "frac_coords": [[0.0000, 0.0000, 0.0000], [0.0335, 0.6655, 0.6655], [0.3345, 0.3345, 0.9665], [0.3345, 0.9665, 0.3345], [0.6655, 0.0335, 0.6655], [0.6655, 0.6655, 0.0335], [0.9665, 0.3345, 0.3345], [0.5000, 0.5000, 0.5000]], "sg": "R-3m, No. 166", "final_energy_ev_per_atom": -6.3402, "e_form_ev_per_atom": 0.49}

Entry 3:
{"formula": "La6Pm8Nd", "functional": "PBE", "state": "relaxed", "lattice_angstrom": [[4.6717, 2.6972, 7.1081], [-4.6717, 2.6972, 7.1081], [0.0000, -5.3944, 7.1081]], "species": ["La", "La", "La", "La", "La", "La", "Pm", "Pm", "Pm", "Pm", "Pm", "Pm", "Pm", "Pm", "Nd"], "frac_coords": [[0.0357, 0.5956, 0.7381], [0.2619, 0.9643, 0.4044], [0.4044, 0.2619, 0.9643], [0.5956, 0.7381, 0.0357], [0.7381, 0.0357, 0.5956], [0.9643, 0.4044, 0.2619], [0.0770, 0.0770, 0.0770], [0.2076, 0.6137, 0.2584], [0.2584, 0.2076, 0.6137], [0.3863, 0.7416, 0.7924], [0.6137, 0.2584, 0.2076], [0.7416, 0.7924, 0.3863], [0.7924, 0.3863, 0.7416], [0.9230, 0.9230, 0.9230], [0.5000, 0.5000, 0.5000]], "sg": "R-3, No. 148", "final_energy_ev_per_atom": -4.7190, "e_form_ev_per_atom": 0.10}